(1)
# PBE CaPd2Pb2, relaxed
data_CaPd2Pb2
_chemical_formula_sum 'Ca4 Pd8 Pb8'
_symmetry_space_group_name_H-M 'C m c m'
_symmetry_Int_Tables_number 63
_symmetry_space_group_name_Hall '-C 2c 2'
_cell_length_a 7.4284
_cell_length_b 6.6880
_cell_length_c 10.2298
_cell_angle_alpha 90.00
_cell_angle_beta 90.00
_cell_angle_gamma 90.00
loop_
_atom_site_label
_atom_site_type_symbol
_atom_site_fract_x
_atom_site_fract_y
_atom_site_fract_z
Ca1 Ca 0.0000 0.2040 0.2500
Pd1 Pd 0.1964 0.0000 0.0000
Pb1 Pb 0.0000 0.3084 0.6019
# Total moment   0.000 μB/cell

=====

(2)
# PBE CaPd2Pb2, relaxed
data_CaPd2Pb2
_chemical_formula_sum 'Ca2 Pd4 Pb4'
_symmetry_space_group_name_H-M 'C 1 2/m 1'
_symmetry_Int_Tables_number 12
_cell_length_a 8.7005
_cell_length_b 5.0286
_cell_length_c 5.5366
_cell_angle_alpha 90.00
_cell_angle_beta 90.07
_cell_angle_gamma 90.00
loop_
_symmetry_equiv_pos_as_xyz
'x,y,z'
'-x,-y,-z'
'-x,y,-z'
'x,-y,z'
'x+1/2,y+1/2,z'
'-x+1/2,-y+1/2,-z'
'-x+1/2,y+1/2,-z'
'x+1/2,-y+1/2,z'
loop_
_atom_site_label
_atom_site_type_symbol
_atom_site_fract_x
_atom_site_fract_y
_atom_site_fract_z
Ca1 Ca 0.0000 0.0000 0.0000
Pd1 Pd 0.1662 0.5000 0.8391
Pb1 Pb 0.1670 0.5000 0.3400
# Total moment   0.000 μB/cell

=====

What E values result from the calculations? In sequence: -4.38 -4.41 eV per atom.
What ΔH_f (0 K) values result from the calculations? In sequence: -0.42 -0.45 eV per atom.
What DOS at the Fermi energy values result from the calculations? In sequence: 6.37 2.69 states/eV per cell.